BaHf2RuPb: relaxed, PBE.

Structure (POSCAR):
```
BaHf2RuPb
1.0
5.3749 0.0000 0.0000
0.0000 5.3749 0.0000
0.0000 0.0000 4.9184
Ba Hf Ru Pb
1 2 1 1
direct
0.0000 0.0000 0.0000
0.0000 0.5000 0.0000
0.5000 0.0000 0.0000
0.0000 0.0000 0.5000
0.5000 0.5000 0.5000
```

Results
SG: P4/mmm, No. 123
Calculated formation energy in eV/atom: 1.964

=====

BaHfSi2Pb: relaxed, PBE.

Structure (POSCAR):
```
BaHfSi2Pb
1.0
5.3799 0.0000 0.0000
0.0000 5.3799 0.0000
0.0000 0.0000 5.8971
Ba Hf Si Pb
1 1 2 1
direct
0.0000 0.0000 0.0000
0.5000 0.5000 0.5000
0.0000 0.5000 0.0000
0.5000 0.0000 0.0000
0.0000 0.0000 0.5000
```

Results
SG: P4/mmm, No. 123
Raw formation energy in eV/atom: 1.823

=====

Ba2HfZrPb: relaxed, PBE.

Structure (POSCAR):
```
Ba2HfZrPb
1.0
6.5324 0.0000 0.0000
0.0000 6.5324 0.0000
0.0000 0.0000 5.5196
Ba Hf Zr Pb
2 1 1 1
direct
0.0000 0.5000 0.0000
0.5000 0.0000 0.0000
0.0000 0.0000 0.5000
0.5000 0.5000 0.5000
0.0000 0.0000 0.0000
```

Results
SG: P4/mmm, No. 123
Calculated formation energy in eV/atom: 1.039

=====

BaHfPd2: relaxed, PBE.

Structure (POSCAR):
```
BaHfPd2
1.0
-3.8922 3.8922 3.6034
3.8922 -3.8922 3.6034
3.8922 3.8922 -3.6034
Ba Hf Pd
2 2 4
direct
0.0000 0.0000 0.0000
0.7500 0.2500 0.5000
0.2500 0.7500 0.5000
0.5000 0.5000 0.0000
0.1892 0.6250 0.0642
0.3750 0.4392 0.5642
0.5608 0.1250 0.9358
0.8750 0.8108 0.4358
```

Results
SG: I-42d, No. 122
Calculated formation energy in eV/atom: -0.113
Relative energy among the computed polymorphs in eV per atom: 0.421